1.
The following is a DFT calculation (PBE-GGA) of crystalline As2AuIBr at its relaxed geometry.

```
data_As2AuIBr
_space_group_name_H-M_alt 'P 1'
_space_group_IT_number 1
_cell_length_a 5.1988
_cell_length_b 5.1988
_cell_length_c 5.1967
_cell_angle_alpha 90.00
_cell_angle_beta 90.00
_cell_angle_gamma 90.00
loop_
_space_group_symop_operation_xyz
'x,y,z'
loop_
_atom_site_label
_atom_site_type_symbol
_atom_site_fract_x
_atom_site_fract_y
_atom_site_fract_z
As1 As 0.0000 0.5000 0.0000
I1 I 0.5000 0.5000 0.5000
Au1 Au 0.0000 0.0000 0.0000
As2 As 0.5000 0.0000 0.0000
Br1 Br 0.0000 0.0000 0.5000
```

Values from the calculation:
Relative energy among the computed polymorphs ... 0 meV per atom
Space group ... P4/mmm (123)
Uncorrected formation energy ... 0.5923 eV/atom

2.
The following is a DFT calculation (PBE-GGA) of crystalline Co3Mo at its relaxed geometry.

```
data_Co3Mo
_space_group_name_H-M_alt 'P 1'
_space_group_IT_number 1
_cell_length_a 2.6221
_cell_length_b 2.6221
_cell_length_c 7.0391
_cell_angle_alpha 90.00
_cell_angle_beta 90.00
_cell_angle_gamma 90.00
loop_
_space_group_symop_operation_xyz
'x,y,z'
loop_
_atom_site_label
_atom_site_type_symbol
_atom_site_fract_x
_atom_site_fract_y
_atom_site_fract_z
Co1 Co 0.5000 0.5000 0.2500
Co2 Co 0.0000 0.0000 0.0230
Mo1 Mo 0.5000 0.5000 0.7500
Co3 Co 0.0000 0.0000 0.4770
```

Values from the calculation:
Space group ... P4/mmm (123)
Formation energy from the elements ... 0.091 eV per atom

3.
The following is a DFT calculation (PBE-GGA) of crystalline BaBeAu3 at its relaxed geometry.

```
data_BaBeAu3
_space_group_name_H-M_alt 'P 1'
_space_group_IT_number 1
_cell_length_a 5.0886
_cell_length_b 6.5005
_cell_length_c 7.3687
_cell_angle_alpha 63.90
_cell_angle_beta 90.66
_cell_angle_gamma 89.99
loop_
_space_group_symop_operation_xyz
'x,y,z'
loop_
_atom_site_label
_atom_site_type_symbol
_atom_site_fract_x
_atom_site_fract_y
_atom_site_fract_z
Au1 Au 0.8436 0.3630 0.5012
Be1 Be 0.7211 0.9802 0.7660
Au2 Au 0.8440 0.5898 0.0015
Ba1 Ba 0.3474 0.5064 0.7127
Be2 Be 0.9716 0.7449 0.2354
Au3 Au 0.2510 0.9657 0.7943
Au4 Au 0.4407 0.7572 0.2111
Au5 Au 0.8437 0.8614 0.5013
Ba2 Ba 0.3400 0.2171 0.2915
Au6 Au 0.8446 0.1347 0.0012
```

Values from the calculation:
Relative energy among the computed polymorphs ... 44 meV per atom
Space group ... P1 (1)
Formation energy from the elements ... -0.393 eV per atom

Total magnetization, record by record: 0.1934 1.0821 0.0000 μB/atom